Version i
First-principles (PBE) data for an optimized crystal structure of BeZnCd2, as listed in the Alexandria database.

Cell and atoms, written as POSCAR:
```
BeZnCd2
1.0
5.4506 0.0868 0.2139
4.6647 2.8208 0.2139
2.4352 0.7000 4.7341
Be Zn Cd
1 1 2
Direct
0.2349 0.2349 0.2006 Be
0.5367 0.5367 0.5007 Zn
0.9672 0.9672 0.0640 Cd
0.7612 0.7612 0.7347 Cd
```

---

Version ii
First-principles (PBE) data for an optimized crystal structure of BeZnCd2, as listed in the Alexandria database.

Cell and atoms, written as POSCAR:
```
BeZnCd2
1.0
2.9920 0.0000 0.0000
0.0000 2.9920 0.0000
0.0000 0.0000 7.6358
Be Zn Cd
1 1 2
Direct
0.5000 0.5000 0.7500 Be
0.5000 0.5000 0.2500 Zn
0.0000 0.0000 0.9687 Cd
0.0000 0.0000 0.5313 Cd
```

---

version i takes first place; second place is 35 meV per atom up.

---

Version i
First-principles (PBE) data for an optimized crystal structure of BeZn3Cd, as listed in the Alexandria database.

Cell and atoms, written as POSCAR:
```
BeZn3Cd
1.0
5.0307 0.0000 0.0000
0.0000 5.0307 0.0000
0.0000 0.0000 5.0307
Be Zn Cd
1 3 1
Direct
0.5000 0.5000 0.5000 Be
0.0000 0.5000 0.0000 Zn
0.0000 0.0000 0.5000 Zn
0.5000 0.0000 0.0000 Zn
0.0000 0.0000 0.0000 Cd
```

---

Version ii
First-principles (PBE) data for an optimized crystal structure of BeZn3Cd, as listed in the Alexandria database.

Cell and atoms, written as POSCAR:
```
BeZn3Cd
1.0
4.3983 0.0000 0.0000
0.0000 4.3983 0.0000
0.0000 0.0000 4.3983
Be Zn Cd
1 3 1
Direct
0.0000 0.0000 0.0000 Be
0.0000 0.5000 0.0000 Zn
0.0000 0.0000 0.5000 Zn
0.5000 0.0000 0.0000 Zn
0.5000 0.5000 0.5000 Cd
```

---

version ii takes first place; second place is 711 meV per atom up.

---

Version i
First-principles (PBE) data for an optimized crystal structure of Be2ZnCd2, as listed in the Alexandria database.

Cell and atoms, written as POSCAR:
```
Be2ZnCd2
1.0
-1.7348 -3.9472 4.4890
-2.7498 -3.6233 -4.2487
3.3837 -2.0193 -0.4679
Be Zn Cd
4 2 4
Direct
0.3702 0.8702 0.0000 Be
0.8702 0.6298 0.0000 Be
0.6298 0.1298 0.0000 Be
0.1298 0.3702 0.0000 Be
0.0000 0.0000 0.0000 Zn
0.5000 0.5000 0.0000 Zn
0.1704 0.6704 0.5000 Cd
0.6704 0.8296 0.5000 Cd
0.8296 0.3296 0.5000 Cd
0.3296 0.1704 0.5000 Cd
```

---

Version ii
First-principles (PBE) data for an optimized crystal structure of Be2ZnCd2, as listed in the Alexandria database.

Cell and atoms, written as POSCAR:
```
Be2ZnCd2
1.0
7.7412 0.0000 0.0000
0.0000 7.7412 0.0000
0.0000 0.0000 2.7166
Be Zn Cd
4 2 4
Direct
0.1647 0.6647 0.5000 Be
0.6647 0.8353 0.5000 Be
0.8353 0.3353 0.5000 Be
0.3353 0.1647 0.5000 Be
0.0000 0.0000 0.0000 Zn
0.5000 0.5000 0.0000 Zn
0.3621 0.8621 0.0000 Cd
0.8621 0.6379 0.0000 Cd
0.6379 0.1379 0.0000 Cd
0.1379 0.3621 0.0000 Cd
```

---

version i takes first place; second place is 142 meV per atom up.